Record 1
The following is a GGA-PBEsol calculation of a geometry-optimized ZnCoTe2 structure, from Alexandria.

Structure (CIF):
```
data_ZnCoTe2
_chemical_formula_sum 'Zn1 Co1 Te2'
_cell_length_a 3.764
_cell_length_b 3.764
_cell_length_c 8.378
_cell_angle_alpha 77.02
_cell_angle_beta 77.02
_cell_angle_gamma 60.00
_symmetry_space_group_name_H-M 'P 1'
_symmetry_Int_Tables_number 1
_symmetry_space_group_name_Hall 'P 1'
loop_
_atom_site_label
_atom_site_fract_x
_atom_site_fract_y
_atom_site_fract_z
Zn1 0.500 0.500 0.500
Te1 0.901 0.901 0.296
Te2 0.099 0.099 0.704
Co1 0.000 0.000 0.000
```

## Properties
Formation energy from raw total energies   0.50 eV per atom
Crystal system   trigonal

Record 2
The following is a GGA-PBEsol calculation of a geometry-optimized LiMo6S8 structure, from Alexandria.

Structure (CIF):
```
data_LiMo6S8
_chemical_formula_sum 'Li2 Mo12 S16'
_cell_length_a 6.411
_cell_length_b 8.916
_cell_length_c 9.237
_cell_angle_alpha 90.01
_cell_angle_beta 89.86
_cell_angle_gamma 86.95
_symmetry_space_group_name_H-M 'P 1'
_symmetry_Int_Tables_number 1
_symmetry_space_group_name_Hall 'P 1'
loop_
_atom_site_label
_atom_site_fract_x
_atom_site_fract_y
_atom_site_fract_z
Li1 0.094 0.297 0.261
Li2 0.906 0.703 0.739
Mo1 0.216 0.270 0.679
Mo2 0.214 0.773 0.178
Mo3 0.406 0.868 0.418
Mo4 0.450 0.564 0.345
Mo5 0.407 0.367 0.917
Mo6 0.449 0.059 0.847
Mo7 0.550 0.436 0.655
Mo8 0.594 0.132 0.582
Mo9 0.551 0.941 0.153
Mo10 0.593 0.633 0.083
Mo11 0.784 0.730 0.321
Mo12 0.786 0.227 0.822
S1 0.132 0.693 0.423
S2 0.132 0.191 0.925
S3 0.269 0.008 0.625
S4 0.217 0.033 0.250
S5 0.264 0.510 0.123
S6 0.219 0.531 0.750
S7 0.385 0.317 0.449
S8 0.386 0.818 0.951
S9 0.615 0.683 0.551
S10 0.614 0.182 0.049
S11 0.783 0.967 0.750
S12 0.731 0.992 0.375
S13 0.781 0.469 0.250
S14 0.736 0.490 0.877
S15 0.868 0.307 0.577
S16 0.868 0.809 0.075
```

## Properties
Formation energy from raw total energies   -0.85 eV per atom
Excess energy over the best structure of this formula in the dataset   0 meV per atom
Crystal system   triclinic

Record 3
The following is a GGA-PBEsol calculation of a geometry-optimized LiAlO2 structure, from Alexandria.

Structure (CIF):
```
data_LiAlO2
_chemical_formula_sum 'Li4 Al4 O8'
_cell_length_a 5.168
_cell_length_b 5.168
_cell_length_c 6.258
_cell_angle_alpha 90.00
_cell_angle_beta 90.00
_cell_angle_gamma 90.00
_symmetry_space_group_name_H-M 'P 1'
_symmetry_Int_Tables_number 1
_symmetry_space_group_name_Hall 'P 1'
loop_
_atom_site_label
_atom_site_fract_x
_atom_site_fract_y
_atom_site_fract_z
Al1 0.824 0.824 0.500
Al2 0.676 0.324 0.750
Al3 0.324 0.676 0.250
Al4 0.176 0.176 0.000
O1 0.292 0.335 0.229
O2 0.165 0.792 0.479
O3 0.792 0.165 0.521
O4 0.835 0.208 0.979
O5 0.208 0.835 0.021
O6 0.665 0.708 0.271
O7 0.335 0.292 0.771
O8 0.708 0.665 0.729
Li1 0.686 0.314 0.250
Li2 0.186 0.186 0.500
Li3 0.314 0.686 0.750
Li4 0.814 0.814 0.000
```

## Properties
Formation energy from raw total energies   -2.74 eV per atom
Crystal system   tetragonal